1.
Density functional theory data (PBE) for a relaxed Pm7Dy12Y crystal.

a = 9.793 Å, b = 9.793 Å, c = 9.793 Å
α = 109.47°, β = 109.47°, γ = 109.47°
Fractional coordinates of all 20 atoms:
Pm1 0.000 0.000 0.500
Pm2 0.000 0.500 0.000
Pm3 0.000 0.500 0.500
Pm4 0.500 0.000 0.000
Pm5 0.500 0.000 0.500
Pm6 0.500 0.500 0.000
Pm7 0.500 0.500 0.500
Dy1 0.000 0.248 0.752
Dy2 0.000 0.752 0.248
Dy3 0.248 0.000 0.752
Dy4 0.248 0.248 0.496
Dy5 0.248 0.496 0.248
Dy6 0.248 0.752 0.000
Dy7 0.496 0.248 0.248
Dy8 0.504 0.752 0.752
Dy9 0.752 0.000 0.248
Dy10 0.752 0.248 0.000
Dy11 0.752 0.504 0.752
Dy12 0.752 0.752 0.504
Y1 0.000 0.000 0.000

Energy above the lowest structure with this stoichiometry = 411 meV per atom
Energy relative to the elements = 1242 kJ/mol of formula units
Density of states at the Fermi level = 26.99 states/eV/f.u.
V = 723.01 Å³ per cell
Crystal system = cubic


2.
Density functional theory data (PBE) for a relaxed LaMn2Si2C crystal.

a = 3.947 Å, b = 3.947 Å, c = 5.416 Å
α = 90.00°, β = 90.00°, γ = 90.00°
Fractional coordinates of all 6 atoms:
La1 0.000 0.000 0.000
Mn1 0.000 0.500 0.500
Mn2 0.500 0.000 0.500
Si1 0.500 0.500 0.238
Si2 0.500 0.500 0.762
C1 0.000 0.000 0.500

Density of states at the Fermi level = 4.74 states/eV/f.u.
V = 84.36 Å³ per cell
Crystal system = tetragonal
Energy relative to the elements, uncorrected = -435 meV/atom